(1)
First-principles (PBE) data for a relaxed structure of PmY5Er3, as listed in Alexandria.

Output
Energy above the lowest structure with this stoichiometry = 0.0 kJ/mol of formula units
Calculated formation energy = 219.8 meV per atom
Total DFT energy (no corrections) = -0.199 hartree per atom
Space group = C2/c (15)

Cell: 8.678 8.678 11.815 Å, 72.05 72.05 45.48°
Fractional coordinates of all 18 atoms:
Pm  0.801  0.199  0.750
Pm  0.199  0.801  0.250
Y  0.306  0.694  0.750
Y  0.135  0.234  0.049
Y  0.523  0.914  0.237
Y  0.865  0.766  0.951
Y  0.086  0.477  0.263
Y  0.694  0.306  0.250
Y  0.234  0.135  0.549
Y  0.766  0.865  0.451
Y  0.914  0.523  0.737
Y  0.477  0.086  0.763
Er  0.000  0.000  0.000
Er  0.342  0.447  0.511
Er  0.000  0.000  0.500
Er  0.658  0.553  0.489
Er  0.447  0.342  0.011
Er  0.553  0.658  0.989

---

(2)
First-principles (PBE) data for a relaxed structure of Pm5YEr, as listed in Alexandria.

Output
Energy above the lowest structure with this stoichiometry = 576.1 kJ/mol of formula units
Calculated formation energy = 1012.3 meV per atom
Total DFT energy (no corrections) = -0.145 hartree per atom
Space group = Immm (71)

Cell: 5.904 8.051 8.051 Å, 66.20 68.49 68.49°
Fractional coordinates of all 7 atoms:
Pm  0.500  0.177  0.823
Pm  0.500  0.823  0.177
Pm  0.747  0.253  0.253
Pm  0.253  0.747  0.747
Pm  0.000  0.500  0.500
Y  0.000  0.000  0.000
Er  0.500  0.500  0.500

---

(3)
First-principles (PBE) data for a relaxed structure of Pm3Y2Er6, as listed in Alexandria.

Output
Energy above the lowest structure with this stoichiometry = 275.5 kJ/mol of formula units
Calculated formation energy = 279.6 meV per atom
Total DFT energy (no corrections) = -0.172 hartree per atom
Space group = I4/mmm (139)

Cell: 4.729 4.729 17.003 Å, 97.99 97.99 90.00°
Fractional coordinates of all 11 atoms:
Pm  0.000  0.000  0.000
Pm  0.797  0.797  0.594
Pm  0.203  0.203  0.406
Y  0.453  0.453  0.907
Y  0.547  0.547  0.093
Er  0.122  0.622  0.244
Er  0.622  0.122  0.244
Er  0.878  0.378  0.756
Er  0.378  0.878  0.756
Er  0.694  0.694  0.388
Er  0.306  0.306  0.612

---

(4)
First-principles (PBE) data for a relaxed structure of PmY5Er3, as listed in Alexandria.

Output
Energy above the lowest structure with this stoichiometry = 56.6 kJ/mol of formula units
Calculated formation energy = 285.0 meV per atom
Total DFT energy (no corrections) = -0.197 hartree per atom
Space group = I4/mcm (140)

Cell: 8.600 8.600 9.903 Å, 115.74 115.74 90.00°
Fractional coordinates of all 18 atoms:
Pm  0.750  0.250  0.500
Pm  0.250  0.750  0.500
Y  0.065  0.565  0.727
Y  0.662  0.162  0.727
Y  0.162  0.065  0.727
Y  0.565  0.662  0.727
Y  0.935  0.435  0.273
Y  0.338  0.838  0.273
Y  0.838  0.935  0.273
Y  0.435  0.338  0.273
Y  0.500  0.500  0.000
Y  0.000  0.000  0.000
Er  0.619  0.119  0.000
Er  0.381  0.881  0.000
Er  0.881  0.619  0.000
Er  0.119  0.381  0.000
Er  0.250  0.250  0.500
Er  0.750  0.750  0.500

---

(5)
First-principles (PBE) data for a relaxed structure of Pm4Y2Er3, as listed in Alexandria.

Output
Energy above the lowest structure with this stoichiometry = 0.0 kJ/mol of formula units
Calculated formation energy = 46.2 meV per atom
Total DFT energy (no corrections) = -0.185 hartree per atom
Space group = Cccm (66)

Cell: 7.052 12.068 12.068 Å, 47.97 54.26 54.27°
Fractional coordinates of all 18 atoms:
Pm  0.465  0.853  0.182
Pm  0.035  0.818  0.147
Pm  0.535  0.147  0.818
Pm  0.965  0.182  0.853
Pm  0.848  0.179  0.473
Pm  0.652  0.527  0.821
Pm  0.152  0.821  0.527
Pm  0.348  0.473  0.179
Y  0.318  0.152  0.530
Y  0.182  0.470  0.848
Y  0.682  0.848  0.470
Y  0.818  0.530  0.152
Er  0.909  0.170  0.170
Er  0.591  0.829  0.830
Er  0.091  0.830  0.830
Er  0.409  0.171  0.170
Er  0.250  0.500  0.500
Er  0.750  0.500  0.500

---

(6)
First-principles (PBE) data for a relaxed structure of PmYEr6, as listed in Alexandria.

Output
Energy above the lowest structure with this stoichiometry = 0.0 kJ/mol of formula units
Calculated formation energy = 151.8 meV per atom
Total DFT energy (no corrections) = -0.172 hartree per atom
Space group = R-3 (148)

Cell: 8.539 9.573 6.415 Å, 41.75 48.26 55.92°
Fractional coordinates of all 8 atoms:
Pm  0.000  0.000  0.000
Y  0.500  0.500  0.500
Er  0.955  0.453  0.844
Er  0.749  0.954  0.749
Er  0.453  0.251  0.341
Er  0.251  0.046  0.251
Er  0.045  0.547  0.156
Er  0.547  0.749  0.659

---

(7)
First-principles (PBE) data for a relaxed structure of PmYEr6, as listed in Alexandria.

Output
Energy above the lowest structure with this stoichiometry = 45.8 kJ/mol of formula units
Calculated formation energy = 211.1 meV per atom
Total DFT energy (no corrections) = -0.170 hartree per atom
Space group = P-1 (2)

Cell: 6.684 6.522 6.949 Å, 104.73 61.38 89.75°
Fractional coordinates of all 8 atoms:
Pm  0.000  0.500  0.000
Y  0.000  0.000  0.000
Er  0.094  0.730  0.478
Er  0.570  0.771  0.524
Er  0.430  0.229  0.476
Er  0.906  0.270  0.522
Er  0.542  0.752  0.001
Er  0.458  0.248  0.999

---

(8)
First-principles (PBE) data for a relaxed structure of PmY14Er, as listed in Alexandria.

Output
Calculated formation energy = 21.1 meV per atom
Total DFT energy (no corrections) = -0.228 hartree per atom
Space group = P4/mmm (123)

Cell: 7.148 7.148 10.077 Å, 90.00 90.00 90.00°
Fractional coordinates of all 16 atoms:
Pm  0.875  0.125  0.000
Y  0.375  0.625  0.500
Y  0.875  0.125  0.500
Y  0.875  0.625  0.000
Y  0.875  0.625  0.500
Y  0.375  0.125  0.000
Y  0.375  0.125  0.500
Y  0.624  0.874  0.750
Y  0.624  0.874  0.250
Y  0.126  0.376  0.750
Y  0.126  0.376  0.250
Y  0.126  0.874  0.750
Y  0.126  0.874  0.250
Y  0.624  0.376  0.750
Y  0.624  0.376  0.250
Er  0.375  0.625  0.000